Record 1
PrPuSbN2: optimized geometry, PBE-GGA.

abc: 7.2908 7.2908 5.5638
angles: 90.00 90.00 134.61
With the nearest neighbours (Å) after each atom.
Sites, in units of the cell vectors:
1 Pr 0.0945 0.9055 0.7500  4 N 2.43
2 Pr 0.9055 0.0945 0.2500  4 N 2.43
3 Pu 0.4253 0.5747 0.7500  4 N 2.14
4 Pu 0.5747 0.4253 0.2500  4 N 2.14
5 Sb 0.2476 0.7524 0.2500  4 Pr 3.46-3.53, 4 Pu 3.65-3.67
6 Sb 0.7524 0.2476 0.7500  4 Pr 3.46-3.53, 4 Pu 3.65-3.67
7 N 0.2723 0.2723 0.0000  2 Pu 2.14
8 N 0.2723 0.2723 0.5000  2 Pu 2.14
9 N 0.7277 0.7277 0.0000  2 Pu 2.14
10 N 0.7277 0.7277 0.5000  2 Pu 2.14

Formation energy (no corrections) (kJ/mol of atoms): -98
Crystal system: orthorhombic
Space group: Cmcm, No. 63

Record 2
BeFeAsCl2: optimized geometry, PBE-GGA.

abc: 5.3932 5.3932 4.0709
angles: 90.00 90.00 90.00
With the nearest neighbours (Å) after each atom.
Sites, in units of the cell vectors:
1 Be 0.0000 0.0000 0.0000  2 As 2.04
2 Fe 0.5000 0.5000 0.0000  8 Cl 3.38
3 As 0.0000 0.0000 0.5000  2 Be 2.04
4 Cl 0.0000 0.5000 0.5000  2 As 2.70
5 Cl 0.5000 0.0000 0.5000  2 As 2.70

Formation energy (no corrections) (kJ/mol of atoms): 73
Crystal system: tetragonal
Space group: P4/mmm, No. 123